Entry from Alexandria via LeMat-Bulk: an optimized crystal structure of Pr5Y4Ho (PBE).

The raw total energy is -5.18 eV/atom. The energy of formation comes out at 0.251 eV per atom. The value obtained for the calculated volume is 348.5 Å³ per cell.

The structure in extended XYZ format:
```
10
Lattice="-4.253 4.091 -1.763 -6.925 -3.565 -2.323 -4.690 2.423 6.181" Properties=species:S:1:pos:R:3 pbc="T T T"
Y -4.269 0.110 1.052
Y -8.073 0.190 -0.342
Y -7.299 2.281 2.642
Y -11.102 2.361 1.248
Pr -10.574 4.228 3.939
Pr -4.943 -1.618 -1.699
Pr -2.920 2.809 -1.210
Pr -5.049 4.058 0.972
Pr -10.468 -1.448 1.268
Ho -0.946 0.910 -0.392
```

=====

Entry from Alexandria via LeMat-Bulk: an optimized crystal structure of Pr15Y4Ho (PBE).

The raw total energy is -5.10 eV/atom. The energy of formation comes out at 0.007 eV per atom. The value obtained for the calculated volume is 702.6 Å³ per cell.

The structure in extended XYZ format:
```
20
Lattice="5.208 0.000 0.000 0.000 5.208 0.000 0.000 0.000 25.906" Properties=species:S:1:pos:R:3 pbc="T T T"
Pr 2.604 2.604 5.174
Pr 2.604 0.000 7.770
Pr 2.604 0.000 2.578
Pr 0.000 2.604 7.770
Pr 2.604 2.604 20.732
Pr 2.604 2.604 0.000
Pr 0.000 2.604 18.136
Pr 2.604 2.604 10.363
Pr 2.604 0.000 23.328
Pr 0.000 2.604 23.328
Pr 2.604 0.000 18.136
Pr 0.000 2.604 2.578
Pr 2.604 0.000 12.953
Pr 2.604 2.604 15.543
Pr 0.000 2.604 12.953
Y 0.000 0.000 15.543
Y 0.000 0.000 10.363
Y 0.000 0.000 20.729
Y 0.000 0.000 5.177
Ho 0.000 0.000 0.000
```

=====

Entry from Alexandria via LeMat-Bulk: an optimized crystal structure of Pr2Y3Ho9 (PBE).

The raw total energy is -4.93 eV/atom. The energy of formation comes out at 0.084 eV per atom. The value obtained for the calculated volume is 452.1 Å³ per cell.

The structure in extended XYZ format:
```
14
Lattice="6.117 1.135 1.567 4.690 12.149 6.124 2.513 4.525 8.967" Properties=species:S:1:pos:R:3 pbc="T T T"
Ho 11.015 15.811 15.100
Ho 5.873 8.926 5.018
Ho 3.138 6.899 4.144
Ho 2.571 3.495 5.109
Ho 4.995 4.158 2.753
Ho 2.393 1.779 1.717
Ho 10.802 14.429 11.812
Ho 10.274 10.645 12.542
Ho 9.592 9.379 9.073
Y 8.138 12.235 10.617
Y 5.360 5.531 6.072
Y 2.801 4.746 8.466
Pr 6.773 7.552 8.217
Pr 5.912 10.738 8.418
```

=====

Entry from Alexandria via LeMat-Bulk: an optimized crystal structure of Pr4Y3Ho2 (PBE).

The raw total energy is -5.21 eV/atom. The energy of formation comes out at 0.086 eV per atom. The energy above the most stable polymorph in this dataset is 42.9 meV per atom. The value obtained for the calculated volume is 310.9 Å³ per cell.

The structure in extended XYZ format:
```
9
Lattice="-0.377 -3.413 1.276 -0.773 -0.447 -6.679 11.896 -4.118 -7.501" Properties=species:S:1:pos:R:3 pbc="T T T"
Pr 1.049 -2.878 -2.130
Pr 9.697 -5.099 -10.773
Pr 7.013 -2.980 -5.898
Pr 3.733 -4.998 -7.005
Y 6.551 -4.162 -9.195
Y 4.195 -3.816 -3.709
Y 0.000 0.000 0.000
Ho 8.912 -5.654 -7.232
Ho 1.834 -2.324 -5.672
```